1.
# YTc2P

An optimized crystal structure of YTc2P (PBE, Alexandria via LeMat-Bulk).

Output
Its uncorrected energy is -33.64 eV per cell. The value obtained for the energy of formation from the pure elements is -0.260 eV/atom. The calculation puts the magnetization at 0.00 μB/f.u.

Structure (POSCAR):
```
YTc2P
1.0
3.052 0.000 0.000
0.000 3.052 0.000
0.000 0.000 7.219
Y Tc P
1 2 1
Cartesian
0.000 0.000 0.000
0.000 0.000 3.387
1.526 1.526 5.082
1.526 1.526 2.183
```

---

2.
# FeOsAu2

An optimized crystal structure of FeOsAu2 (PBE, Alexandria via LeMat-Bulk).

Output
Its uncorrected energy is -24.35 eV per cell. The value obtained for the energy of formation from the pure elements is 0.473 eV/atom. The calculation puts the magnetization at 3.27 μB/f.u.

Structure (POSCAR):
```
FeOsAu2
1.0
4.910 0.000 0.000
0.000 2.739 0.000
-1.633 0.000 4.678
Fe Os Au
1 1 2
Cartesian
0.000 0.000 0.000
2.455 1.370 0.000
-0.816 1.370 2.339
1.639 0.000 2.339
```

---

3.
# Pm3CuIr2

An optimized crystal structure of Pm3CuIr2 (PBE, Alexandria via LeMat-Bulk).

Output
Its uncorrected energy is -38.92 eV per cell. The value obtained for the energy of formation from the pure elements is -0.475 eV/atom. The calculation puts the magnetization at 0.00 μB/f.u.

Structure (POSCAR):
```
Pm3CuIr2
1.0
3.556 0.000 0.000
0.000 3.556 0.000
0.000 0.000 10.627
Pm Cu Ir
3 1 2
Cartesian
0.000 0.000 0.000
0.000 0.000 3.431
0.000 0.000 7.196
1.778 1.778 5.313
1.778 1.778 1.787
1.778 1.778 8.840
```

---

4.
# Li2HgS2

An optimized crystal structure of Li2HgS2 (PBE, Alexandria via LeMat-Bulk).

Output
Its uncorrected energy is -30.81 eV per cell. As for the formation energy from raw total energies: -0.60 eV per atom. The calculation puts the magnetization at 0.00 μB/f.u.

Structure (POSCAR):
```
Li2HgS2
1.0
7.183 0.000 0.000
0.000 7.183 0.000
0.000 0.000 3.628
Li Hg S
4 2 4
Cartesian
1.003 2.589 0.000
2.589 6.180 0.000
4.595 1.003 0.000
6.180 4.595 0.000
0.000 0.000 1.814
3.592 3.592 1.814
1.279 4.871 1.814
2.312 1.279 1.814
4.871 5.904 1.814
5.904 2.312 1.814
```